# Pm3Ho2Pd2 (GGA-PBE, optimized geometry)
data_Pm3Ho2Pd2
_chemical_formula_sum 'Pm6 Ho4 Pd4'
_cell_length_a 12.369
_cell_length_b 3.808
_cell_length_c 9.088
_cell_angle_alpha 90.00
_cell_angle_beta 114.47
_cell_angle_gamma 90.00
_symmetry_space_group_name_H-M 'P 1'
_symmetry_Int_Tables_number 1
loop_
_symmetry_equiv_pos_as_xyz
'x,y,z'
loop_
_atom_site_label
_atom_site_type_symbol
_atom_site_fract_x
_atom_site_fract_y
_atom_site_fract_z
Pm1 Pm 0.000 0.000 0.000
Pm2 Pm 0.114 0.000 0.440
Pm3 Pm 0.386 0.500 0.560
Pm4 Pm 0.500 0.500 0.000
Pm5 Pm 0.614 0.500 0.440
Pm6 Pm 0.886 0.000 0.560
Ho1 Ho 0.160 0.500 0.812
Ho2 Ho 0.340 0.000 0.188
Ho3 Ho 0.660 0.000 0.812
Ho4 Ho 0.840 0.500 0.188
Pd1 Pd 0.173 0.500 0.223
Pd2 Pd 0.327 0.000 0.777
Pd3 Pd 0.673 0.000 0.223
Pd4 Pd 0.827 0.500 0.777
# calculated volume	27.8	A^3/atom
# formation energy from the elements	-0.469	eV/atom